(1)
Computed, not measured: a PBEsol-optimized structure of CdTcBr2 at the SCAN level of DFT.

Summary:
Uncorrected formation energy (kJ/mol of atoms): 48.9
N(E_F) (states/eV/atom): 0.417
E above lowest polymorph (meV per atom): 0
Magnetization (μB/f.u.): 3.0

Cell: 3.288 4.440 5.821 Å, 90.00 90.00 90.00°
Fractional positions:
Cd 0.000 0.000 0.000
Tc 0.500 0.000 0.500
Br 0.000 0.500 0.500
Br 0.500 0.500 0.000


(2)
Computed, not measured: a PBEsol-optimized structure of CoAg2H at the SCAN level of DFT.

Summary:
N(E_F) (states/eV/atom): 0.419
E_tot (eV/atom): -19.932
Magnetization (μB/f.u.): 1.9

Cell: 4.159 4.159 4.159 Å, 60.00 60.00 60.00°
Fractional positions:
Co 0.000 0.000 0.000
Ag 0.250 0.250 0.250
Ag 0.750 0.750 0.750
H 0.500 0.500 0.500


(3)
Computed, not measured: a PBEsol-optimized structure of Mg16Al12Sn at the SCAN level of DFT.

Summary:
N(E_F) (states/eV/atom): 0.388
E above lowest polymorph (meV per atom): 20
Magnetization (μB/f.u.): 0.0

Cell: 9.087 9.087 9.087 Å, 109.47 109.47 109.47°
Fractional positions:
Mg 0.000 0.000 0.657
Mg 0.000 0.401 0.685
Mg 0.000 0.657 0.000
Mg 0.000 0.685 0.401
Mg 0.284 0.599 0.599
Mg 0.315 0.315 0.716
Mg 0.315 0.716 0.315
Mg 0.343 0.343 0.343
Mg 0.401 0.000 0.685
Mg 0.401 0.685 0.000
Mg 0.599 0.284 0.599
Mg 0.599 0.599 0.284
Mg 0.657 0.000 0.000
Mg 0.685 0.000 0.401
Mg 0.685 0.401 0.000
Mg 0.716 0.315 0.315
Al 0.000 0.187 0.370
Al 0.000 0.370 0.187
Al 0.184 0.813 0.813
Al 0.187 0.000 0.370
Al 0.187 0.370 0.000
Al 0.370 0.000 0.187
Al 0.370 0.187 0.000
Al 0.630 0.630 0.816
Al 0.630 0.816 0.630
Al 0.813 0.184 0.813
Al 0.813 0.813 0.184
Al 0.816 0.630 0.630
Sn 0.000 0.000 0.000


> Among the records above, which one has the highest N(E_F)?

CoAg2H


> The lowest N(E_F) belongs to which entry?

Mg16Al12Sn


> Which formula does entry 1 have?

CdTcBr2


What did the first record say?
Computed, not measured: a PBEsol-optimized structure of CdTcBr2 at the SCAN level of DFT.

Summary:
Uncorrected formation energy (kJ/mol of atoms): 48.9
N(E_F) (states/eV/atom): 0.417
E above lowest polymorph (meV per atom): 0
Magnetization (μB/f.u.): 3.0

Cell: 3.288 4.440 5.821 Å, 90.00 90.00 90.00°
Fractional positions:
Cd 0.000 0.000 0.000
Tc 0.500 0.000 0.500
Br 0.000 0.500 0.500
Br 0.500 0.500 0.000